Record 1
This record from Alexandria via LeMat-Bulk describes an optimized crystal structure of HoFe12Ge6. The functional is GGA-PBE.

Properties
density of states at the Fermi level	20.18	states/eV/f.u.
DFT formation energy	0.02	eV/atom
final energy	-133.5	eV per formula unit

abc: 6.7382 6.7382 6.7382
angles: 104.52 104.52 104.52
Last column: nearest neighbours and their distance in Å.
Element x y z (fractional)
Ho: 0.0000 0.0000 0.0000  6 Fe 3.12, 6 Ge 3.38
Fe: 0.8879 0.1121 0.5000  4 Ge 2.31-2.37, 1 Fe 2.39
Fe: 0.8440 0.5880 0.5880  4 Ge 2.49-2.68, 4 Fe 2.65-2.73
Fe: 0.5880 0.5880 0.8440  4 Ge 2.49-2.68, 4 Fe 2.65-2.73
Fe: 0.4120 0.1560 0.4120  4 Ge 2.49-2.68, 4 Fe 2.65-2.73
Fe: 0.4120 0.4120 0.1560  4 Ge 2.49-2.68, 4 Fe 2.65-2.73
Fe: 0.1560 0.4120 0.4120  4 Ge 2.49-2.68, 4 Fe 2.65-2.73
Fe: 0.1121 0.5000 0.8879  4 Ge 2.31-2.37, 1 Fe 2.39
Fe: 0.5000 0.8879 0.1121  4 Ge 2.31-2.37, 1 Fe 2.39
Fe: 0.1121 0.8879 0.5000  4 Ge 2.31-2.37, 1 Fe 2.39
Fe: 0.8879 0.5000 0.1121  4 Ge 2.31-2.37, 1 Fe 2.39
Fe: 0.5000 0.1121 0.8879  4 Ge 2.31-2.37, 1 Fe 2.39
Fe: 0.5880 0.8440 0.5880  4 Ge 2.49-2.68, 4 Fe 2.65-2.73
Ge: 0.7203 0.2596 0.2596  7 Fe 2.31-2.56
Ge: 0.2596 0.2596 0.7203  7 Fe 2.31-2.56
Ge: 0.2596 0.7203 0.2596  7 Fe 2.31-2.56
Ge: 0.7404 0.7404 0.2797  7 Fe 2.31-2.56
Ge: 0.2797 0.7404 0.7404  7 Fe 2.31-2.56
Ge: 0.7404 0.2797 0.7404  7 Fe 2.31-2.56

Record 2
This record from Alexandria via LeMat-Bulk describes an optimized crystal structure of HoFe4Ge12. The functional is GGA-PBE.

Properties
density of states at the Fermi level	16.75	states/eV/f.u.
DFT formation energy	0.04	eV/atom
final energy	-93.1	eV per formula unit

abc: 7.3166 7.3166 7.3166
angles: 109.47 109.47 109.47
Last column: nearest neighbours and their distance in Å.
Element x y z (fractional)
Ho: 0.0000 0.0000 0.0000  12 Ge 3.18
Fe: 0.0000 0.5000 0.0000  6 Ge 2.35
Fe: 0.5000 0.0000 0.0000  6 Ge 2.35
Fe: 0.5000 0.5000 0.5000  6 Ge 2.35
Fe: 0.0000 0.0000 0.5000  6 Ge 2.35
Ge: 0.8350 0.3389 0.1740  2 Fe 2.35
Ge: 0.3389 0.5039 0.1650  2 Fe 2.35
Ge: 0.8260 0.1650 0.6611  2 Fe 2.35
Ge: 0.3389 0.1740 0.8350  2 Fe 2.35
Ge: 0.1740 0.8350 0.3389  2 Fe 2.35
Ge: 0.6611 0.4961 0.8350  2 Fe 2.35
Ge: 0.5039 0.1650 0.3389  2 Fe 2.35
Ge: 0.4961 0.8350 0.6611  2 Fe 2.35
Ge: 0.6611 0.8260 0.1650  2 Fe 2.35
Ge: 0.8350 0.6611 0.4961  2 Fe 2.35
Ge: 0.1650 0.3389 0.5039  2 Fe 2.35
Ge: 0.1650 0.6611 0.8260  2 Fe 2.35

Record 3
This record from Alexandria via LeMat-Bulk describes an optimized crystal structure of Ho2FeGe3. The functional is GGA-PBE.

Properties
density of states at the Fermi level	4.30	states/eV/f.u.
DFT formation energy	-0.54	eV/atom
final energy	-34.7	eV per formula unit

abc: 4.2313 5.5767 5.7292
angles: 75.73 68.33 67.71
Last column: nearest neighbours and their distance in Å.
Element x y z (fractional)
Ho: 0.5450 0.1886 0.7214  9 Ge 2.93-3.21, 1 Fe 3.22
Ho: 0.4306 0.8235 0.3154  8 Ge 2.92-3.18, 3 Fe 2.92-3.10
Fe: 0.1687 0.3943 0.2682  4 Ge 2.33-2.45
Ge: 0.8870 0.5825 0.6435  1 Fe 2.33
Ge: 0.7928 0.2712 0.1433  2 Fe 2.33
Ge: 0.1759 0.7399 0.9082  1 Fe 2.45, 2 Ge 2.72

Record 4
This record from Alexandria via LeMat-Bulk describes an optimized crystal structure of Ho2FeGe3Ir4. The functional is GGA-PBE.

Properties
density of states at the Fermi level	6.86	states/eV/f.u.
DFT formation energy	-0.67	eV/atom
final energy	-73.7	eV per formula unit

abc: 4.1353 4.1353 10.3554
angles: 90.00 90.00 90.00
Last column: nearest neighbours and their distance in Å.
Element x y z (fractional)
Ho: 0.5000 0.0000 0.2523  8 Ir 3.15-3.33, 6 Ge 3.17-3.29, 2 Fe 3.29
Ho: 0.0000 0.5000 0.7477  8 Ir 3.15-3.33, 6 Ge 3.17-3.29, 2 Fe 3.29
Fe: 0.5000 0.5000 0.5000  4 Ir 2.49
Ge: 0.0000 0.0000 0.5000  4 Ir 2.49
Ge: 0.5000 0.0000 0.8670  5 Ir 2.41-2.48
Ge: 0.0000 0.5000 0.1330  5 Ir 2.41-2.48
Ir: 0.5000 0.5000 0.0000  4 Ge 2.48
Ir: 0.0000 0.0000 0.0000  4 Ge 2.48
Ir: 0.5000 0.0000 0.6338  3 Ge 2.41-2.49, 2 Fe 2.49
Ir: 0.0000 0.5000 0.3662  3 Ge 2.41-2.49, 2 Fe 2.49

Record 5
This record from Alexandria via LeMat-Bulk describes an optimized crystal structure of HoFeNiGe2. The functional is GGA-PBE.

Properties
density of states at the Fermi level	2.96	states/eV/f.u.
DFT formation energy	-0.56	eV/atom
final energy	-30.8	eV per formula unit

abc: 3.9531 3.9531 5.8173
angles: 109.86 109.86 90.00
Last column: nearest neighbours and their distance in Å.
Element x y z (fractional)
Ho: 0.0000 0.0000 0.0000  8 Ge 3.08, 4 Fe 3.23, 4 Ni 3.23
Fe: 0.7500 0.2500 0.5000  4 Ge 2.35
Ni: 0.2500 0.7500 0.5000  4 Ge 2.35
Ge: 0.6258 0.6258 0.2517  2 Fe 2.35, 2 Ni 2.35, 1 Ge 2.57
Ge: 0.3742 0.3742 0.7483  2 Fe 2.35, 2 Ni 2.35, 1 Ge 2.57

Record 6
This record from Alexandria via LeMat-Bulk describes an optimized crystal structure of HoFeGe2Os. The functional is GGA-PBE.

Properties
density of states at the Fermi level	4.72	states/eV/f.u.
DFT formation energy	-0.41	eV/atom
final energy	-35.5	eV per formula unit

abc: 4.0632 4.0632 5.9205
angles: 110.07 110.07 90.00
Last column: nearest neighbours and their distance in Å.
Element x y z (fractional)
Ho: 0.0000 0.0000 0.0000  8 Ge 3.14, 4 Os 3.29, 4 Fe 3.29
Fe: 0.2500 0.7500 0.5000  4 Ge 2.42
Ge: 0.6224 0.6224 0.2448  2 Os 2.42, 2 Fe 2.42, 1 Ge 2.53
Ge: 0.3776 0.3776 0.7552  2 Os 2.42, 2 Fe 2.42, 1 Ge 2.53
Os: 0.7500 0.2500 0.5000  4 Ge 2.42

Record 7
This record from Alexandria via LeMat-Bulk describes an optimized crystal structure of HoFeGe3Os. The functional is GGA-PBE.

Properties
density of states at the Fermi level	2.28	states/eV/f.u.
DFT formation energy	-0.06	eV/atom
final energy	-38.5	eV per formula unit

abc: 5.4753 7.6785 6.9354
angles: 123.61 90.00 90.00
Last column: nearest neighbours and their distance in Å.
Element x y z (fractional)
Ho: 0.7500 0.3039 0.6079  2 Ge 2.86, 3 Os 3.03-3.12
Ho: 0.2500 0.6961 0.3921  2 Ge 2.86, 3 Os 3.03-3.12
Fe: 0.2500 0.0443 0.0886  5 Ge 2.16-2.36
Fe: 0.7500 0.9557 0.9114  5 Ge 2.16-2.36
Ge: 0.2500 0.2315 0.4630  1 Fe 2.16, 1 Os 2.33
Ge: 0.0000 0.2411 0.0000  2 Fe 2.36, 2 Os 2.53
Ge: 0.5000 0.7589 0.0000  2 Fe 2.36, 2 Os 2.53
Ge: 0.5000 0.2411 0.0000  2 Fe 2.36, 2 Os 2.53
Ge: 0.0000 0.7589 0.0000  2 Fe 2.36, 2 Os 2.53
Ge: 0.7500 0.7685 0.5370  1 Fe 2.16, 1 Os 2.33
Os: 0.2500 0.4335 0.8671  5 Ge 2.33-2.53
Os: 0.7500 0.5665 0.1329  5 Ge 2.33-2.53

Record 8
This record from Alexandria via LeMat-Bulk describes an optimized crystal structure of Ho2FeGe3Pt4. The functional is GGA-PBE.

Properties
density of states at the Fermi level	5.67	states/eV/f.u.
DFT formation energy	-0.80	eV/atom
final energy	-63.6	eV per formula unit

abc: 4.1795 4.1795 10.4872
angles: 90.00 90.00 90.00
Last column: nearest neighbours and their distance in Å.
Element x y z (fractional)
Ho: 0.5000 0.0000 0.2544  8 Pt 3.18-3.39, 6 Ge 3.20-3.32, 2 Fe 3.32
Ho: 0.0000 0.5000 0.7456  8 Pt 3.18-3.39, 6 Ge 3.20-3.32, 2 Fe 3.32
Fe: 0.5000 0.5000 0.5000  4 Pt 2.51
Ge: 0.0000 0.0000 0.5000  4 Pt 2.51
Ge: 0.5000 0.0000 0.8621  5 Pt 2.40-2.54
Ge: 0.0000 0.5000 0.1379  5 Pt 2.40-2.54
Pt: 0.5000 0.5000 0.0000  4 Ge 2.54
Pt: 0.0000 0.0000 0.0000  4 Ge 2.54
Pt: 0.5000 0.0000 0.6329  3 Ge 2.40-2.51, 2 Fe 2.51
Pt: 0.0000 0.5000 0.3671  3 Ge 2.40-2.51, 2 Fe 2.51

Record 9
This record from Alexandria via LeMat-Bulk describes an optimized crystal structure of Ho2FeGe4Pt3. The functional is GGA-PBE.

Properties
density of states at the Fermi level	4.14	states/eV/f.u.
DFT formation energy	-0.77	eV/atom
final energy	-61.9	eV per formula unit

abc: 4.0741 4.0741 10.8496
angles: 90.00 90.00 90.00
Last column: nearest neighbours and their distance in Å.
Element x y z (fractional)
Ho: 0.5000 0.0000 0.2629  4 Ge 3.12, 6 Pt 3.14-3.28, 2 Fe 3.28
Ho: 0.0000 0.5000 0.7371  4 Ge 3.12, 6 Pt 3.14-3.28, 2 Fe 3.28
Fe: 0.5000 0.5000 0.5000  4 Ge 2.46
Ge: 0.5000 0.5000 0.0000  4 Pt 2.59, 4 Ge 2.88
Ge: 0.0000 0.0000 0.0000  4 Pt 2.59, 4 Ge 2.88
Ge: 0.5000 0.0000 0.6264  2 Fe 2.46, 3 Pt 2.46
Ge: 0.0000 0.5000 0.3736  3 Pt 2.46, 2 Fe 2.46
Pt: 0.0000 0.0000 0.5000  4 Ge 2.46
Pt: 0.5000 0.0000 0.8528  5 Ge 2.46-2.59
Pt: 0.0000 0.5000 0.1472  5 Ge 2.46-2.59

Record 10
This record from Alexandria via LeMat-Bulk describes an optimized crystal structure of HoFeGe3Rh. The functional is GGA-PBE.

Properties
density of states at the Fermi level	3.04	states/eV/f.u.
DFT formation energy	-0.23	eV/atom
final energy	-35.6	eV per formula unit

abc: 5.5815 7.2763 6.9206
angles: 121.72 90.00 90.00
Last column: nearest neighbours and their distance in Å.
Element x y z (fractional)
Ho: 0.7500 0.2051 0.4103  2 Ge 2.80, 1 Fe 2.87
Ho: 0.2500 0.7949 0.5897  2 Ge 2.80, 1 Fe 2.87
Fe: 0.2500 0.0383 0.0765  5 Ge 2.22-2.34
Fe: 0.7500 0.9617 0.9235  5 Ge 2.22-2.34
Ge: 0.2500 0.2266 0.4532  1 Fe 2.22, 1 Rh 2.29
Ge: 0.0000 0.2513 0.0000  2 Fe 2.34, 2 Rh 2.47
Ge: 0.5000 0.7487 0.0000  2 Fe 2.34, 2 Rh 2.47
Ge: 0.5000 0.2513 0.0000  2 Fe 2.34, 2 Rh 2.47
Ge: 0.0000 0.7487 0.0000  2 Fe 2.34, 2 Rh 2.47
Ge: 0.7500 0.7734 0.5468  1 Fe 2.22, 1 Rh 2.29
Rh: 0.2500 0.4212 0.8423  5 Ge 2.29-2.47
Rh: 0.7500 0.5788 0.1577  5 Ge 2.29-2.47